1.
# Y2Ti2Fe22N (PBE, optimized geometry)
data_Y2Ti2Fe22N
_space_group_name_H-M_alt 'C 1 m 1'
_space_group_IT_number 8
_cell_length_a 12.084
_cell_length_b 4.757
_cell_length_c 12.058
_cell_angle_alpha 90.00
_cell_angle_beta 90.08
_cell_angle_gamma 90.00
loop_
_space_group_symop_operation_xyz
'x,y,z'
'x,-y,z'
'x+1/2,y+1/2,z'
'x+1/2,-y+1/2,z'
loop_
_atom_site_label
_atom_site_type_symbol
_atom_site_fract_x
_atom_site_fract_y
_atom_site_fract_z
Y1 Y 0.000 0.000 0.000
Y2 Y 0.000 0.500 0.500
Ti1 Ti 0.312 0.000 0.314
Ti2 Ti 0.315 0.500 0.812
Fe1 Fe 0.106 0.500 0.882
Fe2 Fe 0.107 0.000 0.388
Fe3 Fe 0.109 0.500 0.111
Fe4 Fe 0.115 0.000 0.612
Fe5 Fe 0.174 0.000 0.176
Fe6 Fe 0.175 0.500 0.319
Fe7 Fe 0.177 0.000 0.816
Fe8 Fe 0.177 0.500 0.674
Fe9 Fe 0.246 0.250 0.997
Fe10 Fe 0.247 0.251 0.498
Fe11 Fe 0.317 0.500 0.177
Fe12 Fe 0.320 0.000 0.675
Fe13 Fe 0.382 0.500 0.384
Fe14 Fe 0.384 0.000 0.107
Fe15 Fe 0.386 0.500 0.604
Fe16 Fe 0.387 0.000 0.884
Fe17 Fe 0.497 0.250 0.251
Fe18 Fe 0.499 0.249 0.742
N1 N 0.498 0.000 0.997
# - size of the total moment (μB per formula unit) = 44.88
# - E (eV/cell) = -453.360
# - formation energy (no corrections) (eV per formula unit) = -3.5

---

2.
# DyBOs (PBE, optimized geometry)
data_DyBOs
_space_group_name_H-M_alt 'P 1 21/m 1'
_space_group_IT_number 11
_cell_length_a 4.999
_cell_length_b 3.189
_cell_length_c 5.835
_cell_angle_alpha 90.00
_cell_angle_beta 99.85
_cell_angle_gamma 90.00
loop_
_space_group_symop_operation_xyz
'x,y,z'
'-x,-y,-z'
'-x,y+1/2,-z'
'x,-y+1/2,z'
loop_
_atom_site_label
_atom_site_type_symbol
_atom_site_fract_x
_atom_site_fract_y
_atom_site_fract_z
Dy1 Dy 0.058 0.250 0.262
B1 B 0.408 0.750 0.532
Os1 Os 0.447 0.250 0.802
# - size of the total moment (μB per formula unit) = 0.00
# - energy above the most stable polymorph in this dataset (eV per formula unit) = 0.13
# - DFT formation energy (eV per atom) = -0.338
# - E (eV/cell) = -47.049

---

3.
# Pm2SnAs3Rh4 (PBE, optimized geometry)
data_Pm2SnAs3Rh4
_space_group_name_H-M_alt 'P -4 m 2'
_space_group_IT_number 115
_cell_length_a 4.175
_cell_length_b 4.175
_cell_length_c 10.921
_cell_angle_alpha 90.00
_cell_angle_beta 90.00
_cell_angle_gamma 90.00
loop_
_space_group_symop_operation_xyz
'x,y,z'
'y,-x,-z'
'-x,-y,z'
'-y,x,-z'
'-x,y,z'
'-y,-x,-z'
'x,-y,z'
'y,x,-z'
loop_
_atom_site_label
_atom_site_type_symbol
_atom_site_fract_x
_atom_site_fract_y
_atom_site_fract_z
Pm1 Pm 0.000 0.500 0.236
Sn1 Sn 0.000 0.000 0.500
As1 As 0.000 0.500 0.869
As2 As 0.500 0.500 0.500
Rh1 Rh 0.000 0.000 0.000
Rh2 Rh 0.000 0.500 0.648
Rh3 Rh 0.500 0.500 0.000
# - size of the total moment (μB per formula unit) = 0.00
# - DFT formation energy (eV per atom) = -0.858
# - E (eV/cell) = -65.438

---

4.
# BRh6Pb2 (PBE, optimized geometry)
data_BRh6Pb2
_space_group_name_H-M_alt 'C 1 2/m 1'
_space_group_IT_number 12
_cell_length_a 11.509
_cell_length_b 5.808
_cell_length_c 4.607
_cell_angle_alpha 90.00
_cell_angle_beta 100.27
_cell_angle_gamma 90.00
loop_
_space_group_symop_operation_xyz
'x,y,z'
'-x,-y,-z'
'-x,y,-z'
'x,-y,z'
'x+1/2,y+1/2,z'
'-x+1/2,-y+1/2,-z'
'-x+1/2,y+1/2,-z'
'x+1/2,-y+1/2,z'
loop_
_atom_site_label
_atom_site_type_symbol
_atom_site_fract_x
_atom_site_fract_y
_atom_site_fract_z
B1 B 0.000 0.000 0.000
Rh1 Rh 0.000 0.214 0.500
Rh2 Rh 0.128 0.252 0.057
Pb1 Pb 0.197 0.500 0.586
# - size of the total moment (μB per formula unit) = 0.76
# - DFT formation energy (eV per atom) = 0.127
# - E (eV/cell) = -114.125

---

5.
# K2ReSb (PBE, optimized geometry)
data_K2ReSb
_space_group_name_H-M_alt 'F -4 3 m'
_space_group_IT_number 216
_space_group_name_Hall 'F -4 2 3'
_cell_length_a 7.337
_cell_length_b 7.337
_cell_length_c 7.337
_cell_angle_alpha 90.00
_cell_angle_beta 90.00
_cell_angle_gamma 90.00
loop_
_atom_site_label
_atom_site_type_symbol
_atom_site_fract_x
_atom_site_fract_y
_atom_site_fract_z
K1 K 0.000 0.000 0.000
K2 K 0.250 0.250 0.250
Re1 Re 0.000 0.000 0.500
Sb1 Sb 0.250 0.250 0.750
# - size of the total moment (μB per formula unit) = 0.32
# - E (eV/cell) = -57.077
# - formation energy (no corrections) (eV per formula unit) = 4.5

---

6.
# KZn2HgPd (PBE, optimized geometry)
data_KZn2HgPd
_space_group_name_H-M_alt 'P 4/m m m'
_space_group_IT_number 123
_space_group_name_Hall '-P 4 2'
_cell_length_a 4.957
_cell_length_b 4.957
_cell_length_c 5.369
_cell_angle_alpha 90.00
_cell_angle_beta 90.00
_cell_angle_gamma 90.00
loop_
_atom_site_label
_atom_site_type_symbol
_atom_site_fract_x
_atom_site_fract_y
_atom_site_fract_z
K1 K 0.000 0.000 0.000
Zn1 Zn 0.000 0.500 0.500
Hg1 Hg 0.500 0.500 0.000
Pd1 Pd 0.500 0.500 0.500
# - size of the total moment (μB per formula unit) = 0.00
# - DFT formation energy (eV per atom) = -0.183
# - E (eV/cell) = -10.057

---

7.
# NaAl2HgI (PBE, optimized geometry)
data_NaAl2HgI
_space_group_name_H-M_alt 'P 4/m m m'
_space_group_IT_number 123
_space_group_name_Hall '-P 4 2'
_cell_length_a 5.912
_cell_length_b 5.912
_cell_length_c 6.876
_cell_angle_alpha 90.00
_cell_angle_beta 90.00
_cell_angle_gamma 90.00
loop_
_atom_site_label
_atom_site_type_symbol
_atom_site_fract_x
_atom_site_fract_y
_atom_site_fract_z
Na1 Na 0.000 0.000 0.000
Al1 Al 0.000 0.500 0.500
Hg1 Hg 0.500 0.500 0.000
I1 I 0.500 0.500 0.500
# - size of the total moment (μB per formula unit) = 0.00
# - E (eV/cell) = -7.544
# - formation energy (no corrections) (eV per formula unit) = 3.1

---

8.
# TbDyThCd (PBE, optimized geometry)
data_TbDyThCd
_space_group_name_H-M_alt 'F -4 3 m'
_space_group_IT_number 216
_space_group_name_Hall 'F -4 2 3'
_cell_length_a 7.746
_cell_length_b 7.746
_cell_length_c 7.746
_cell_angle_alpha 90.00
_cell_angle_beta 90.00
_cell_angle_gamma 90.00
loop_
_atom_site_label
_atom_site_type_symbol
_atom_site_fract_x
_atom_site_fract_y
_atom_site_fract_z
Tb1 Tb 0.000 0.000 0.000
Dy1 Dy 0.000 0.000 0.500
Th1 Th 0.250 0.250 0.750
Cd1 Cd 0.250 0.250 0.250
# - size of the total moment (μB per formula unit) = 0.79
# - energy above the most stable polymorph in this dataset (eV per formula unit) = 1.07
# - DFT formation energy (eV per atom) = 0.099
# - E (eV/cell) = -68.691

---

Number 1: density 7.26 g/cm3. Number 2: density 13.18 g/cm3. Number 3: density 9.12 g/cm3. Number 4: density 11.43 g/cm3. Number 5: density 6.49 g/cm3. Number 6: density 6.00 g/cm3. Number 7: density 2.79 g/cm3. Number 8: density 9.52 g/cm3.